(1)
This record from Alexandria describes a relaxed structure of K4Er3CrSe8. The functional is GGA-PBE.

Geometry as POSCAR:
```
K4Er3CrSe8
1.0
4.1003 2.3673 7.6564
-4.1003 2.3673 7.6564
0.0000 -4.7346 7.6564
K Er Cr Se
4 3 1 8
Direct
0.0000 0.0000 0.0000
0.0000 0.5000 0.5000
0.5000 0.0000 0.5000
0.5000 0.5000 0.0000
0.0000 0.0000 0.5000
0.0000 0.5000 0.0000
0.5000 0.0000 0.0000
0.5000 0.5000 0.5000
0.2354 0.2354 0.2354
0.2516 0.7218 0.7218
0.2782 0.2782 0.7484
0.2782 0.7484 0.2782
0.7218 0.2516 0.7218
0.7218 0.7218 0.2516
0.7484 0.2782 0.2782
0.7646 0.7646 0.7646
```

Raw total energy: -79.4 eV per cell
Calculated density: 5.0 g cm⁻³

(2)
This record from Alexandria describes a relaxed structure of K3Er2CrSe6. The functional is GGA-PBE.

Geometry as POSCAR:
```
K3Er2CrSe6
1.0
3.5203 -6.1029 0.0000
3.5203 6.1029 0.0000
-2.3625 0.0000 7.6517
K Er Cr Se
3 2 1 6
Direct
0.0000 0.0000 0.0000
0.3290 0.6710 0.0000
0.6710 0.3290 0.0000
0.1661 0.8339 0.5000
0.8339 0.1661 0.5000
0.5000 0.5000 0.5000
0.1238 0.4348 0.3045
0.2555 0.2555 0.6967
0.4348 0.1238 0.3045
0.5652 0.8762 0.6955
0.7445 0.7445 0.3033
0.8762 0.5652 0.6955
```

Raw total energy: -59.9 eV per cell
Calculated density: 4.9 g cm⁻³

(3)
This record from Alexandria describes a relaxed structure of K2ErCrSe4. The functional is GGA-PBE.

Geometry as POSCAR:
```
K2ErCrSe4
1.0
6.9304 0.0000 0.0000
0.0000 4.0319 0.0000
-2.3573 0.0000 7.6171
K Er Cr Se
2 1 1 4
Direct
0.0000 0.0000 0.0000
0.5000 0.5000 0.0000
0.0000 0.5000 0.5000
0.5000 0.0000 0.5000
0.2535 0.0000 0.6986
0.2928 0.5000 0.3143
0.7072 0.5000 0.6857
0.7465 0.0000 0.3014
```

Raw total energy: -40.3 eV per cell
Calculated density: 4.8 g cm⁻³

(4)
This record from Alexandria describes a relaxed structure of LaEr2CrN4. The functional is GGA-PBE.

Geometry as POSCAR:
```
LaEr2CrN4
1.0
1.7064 -5.8167 0.0000
1.7064 5.8167 0.0000
0.0000 0.0000 11.5544
La Er Cr N
2 4 2 8
Direct
0.0919 0.9081 0.7500
0.9081 0.0919 0.2500
0.3693 0.6307 0.5434
0.3693 0.6307 0.9566
0.6307 0.3693 0.0434
0.6307 0.3693 0.4566
0.1695 0.8305 0.2500
0.8305 0.1695 0.7500
0.0000 0.0000 0.0000
0.0000 0.0000 0.5000
0.2629 0.7371 0.1241
0.2629 0.7371 0.3759
0.4170 0.5830 0.7500
0.5830 0.4170 0.2500
0.7371 0.2629 0.6241
0.7371 0.2629 0.8759
```

Raw total energy: -135.0 eV per cell
Calculated density: 8.4 g cm⁻³

- Look up the raw total energy of the third one.
  -40.3 eV per cell